First-principles (GGA-PBE) data for crystalline RbOsCl6 at its relaxed geometry, as listed in the Alexandria database. Values from VASP.

Computed properties:
The total moment comes out at 3.0 μB per cell. Its calculated total energy is -3.74 eV per atom. The space-group type is R-3m (166). The formation energy without anion corrections is -0.8351 eV/atom.

```
&SYSTEM
  ibrav = 0, nat = 8, ntyp = 3
/
ATOMIC_SPECIES
Rb 85.47 Rb.upf
Os 190.23 Os.upf
Cl 35.45 Cl.upf
ATOMIC_POSITIONS crystal
Rb 0.000 0.000 0.000
Os 0.500 0.500 0.500
Cl 0.113 0.586 0.586
Cl 0.414 0.414 0.887
Cl 0.414 0.887 0.414
Cl 0.586 0.113 0.586
Cl 0.586 0.586 0.113
Cl 0.887 0.414 0.414
CELL_PARAMETERS angstrom
3.465 2.000 6.266
-3.465 2.000 6.266
0.000 -4.001 6.266
```